A relaxed Sr2CdNiN crystal. Source: the Alexandria database, functional PBE.

The structure in CIF format:
```
data_Sr2CdNiN
_space_group_name_H-M_alt 'P 4/m m m'
_space_group_IT_number 123
_space_group_name_Hall '-P 4 2'
_cell_length_a 5.565
_cell_length_b 5.565
_cell_length_c 3.638
_cell_angle_alpha 90.00
_cell_angle_beta 90.00
_cell_angle_gamma 90.00
loop_
_atom_site_label
_atom_site_type_symbol
_atom_site_fract_x
_atom_site_fract_y
_atom_site_fract_z
Sr1 Sr 0.000 0.500 0.000
Cd1 Cd 0.000 0.000 0.500
Ni1 Ni 0.500 0.500 0.500
N1 N 0.500 0.500 0.000
```

DOS(E_F), states/eV/f.u.: 3.25
Raw formation energy, meV per atom: -369
Uncorrected energy, eV/atom: -4.05